Computed, not measured: an optimized crystal structure of UNiPb2O6 at the PBE with a Hubbard U level of DFT.

Unit cell a=5.8598 b=5.8597 c=5.8610 alpha=60.01 beta=60.01 gamma=90.01
Last column: nearest neighbours and their distance in Å.
Positions (direct):
O  0.2485  0.2486  0.0001  1 Ni 2.06, 1 U 2.08
O  0.2485  0.2486  0.5029  1 Ni 2.06, 1 U 2.08
O  0.2484  0.7512  0.0002  1 Ni 2.06, 1 U 2.08
O  0.7515  0.7514  0.4971  1 Ni 2.06, 1 U 2.08
U  0.5000  0.5000  0.0000  6 O 2.08
O  0.7515  0.7514  0.9999  1 Ni 2.06, 1 U 2.08
Pb  0.2496  0.7498  0.5003  12 O 2.93
O  0.7516  0.2488  0.9998  1 Ni 2.06, 1 U 2.08
Pb  0.7504  0.2502  0.4997  12 O 2.93
Ni  0.0000  0.0000  0.0000  6 O 2.06

* E: -6.97 eV/atom
* spin magnetization: 0.20 μB/atom
* volume: 14.23 A^3/atom
* calculated density: 9.42 Mg/m³